{"formula": "ZnAg2Bi", "functional": "PBE", "state": "relaxed", "dos_ef_per_ev_atom": 0.34, "formation_enthalpy_0k_ev_per_atom": 0.091, "dft_energy_ev_per_atom": -2.624, "de_polymorph_kj_per_mol_atoms": 3.1, "cell": [[-1.606, -4.125, -0.842], [-1.076, -2.739, 3.412], [-5.473, -0.503, 0.845]], "species": ["Ag", "Ag", "Bi", "Zn"], "frac_coords": [[0.283, 0.283, 0.152], [0.717, 0.717, 0.848], [0.500, 0.500, 0.500], [0.000, 0.000, 0.000]]}

---

{"formula": "ZnAg2Bi2", "functional": "PBE", "state": "relaxed", "dos_ef_per_ev_atom": 0.19, "formation_enthalpy_0k_ev_per_atom": 0.161, "dft_energy_ev_per_atom": -2.787, "de_polymorph_kj_per_mol_atoms": 0.0, "cell": [[-3.944, -4.225, -3.993], [5.105, -4.825, 0.063], [-1.905, -1.964, 3.959]], "species": ["Zn", "Zn", "Bi", "Bi", "Bi", "Bi", "Ag", "Ag", "Ag", "Ag"], "frac_coords": [[0.000, 0.000, 0.000], [0.500, 0.500, 0.000], [0.670, 0.830, 0.500], [0.830, 0.330, 0.500], [0.170, 0.670, 0.500], [0.330, 0.170, 0.500], [0.857, 0.643, 0.000], [0.643, 0.143, 0.000], [0.143, 0.357, 0.000], [0.357, 0.857, 0.000]]}

---

{"formula": "ZnAgBi", "functional": "PBE", "state": "relaxed", "dos_ef_per_ev_atom": 0.33, "formation_enthalpy_0k_ev_per_atom": 0.134, "dft_energy_ev_per_atom": -2.535, "cell": [[3.678, 0.000, 0.000], [0.000, 4.610, 0.000], [0.000, -2.305, 3.992]], "species": ["Zn", "Ag", "Bi"], "frac_coords": [[0.168, 0.667, 0.333], [0.165, 0.000, 0.000], [0.667, 0.333, 0.667]]}

---

{"formula": "ZnAgBi3", "functional": "PBE", "state": "relaxed", "dos_ef_per_ev_atom": 0.82, "formation_enthalpy_0k_ev_per_atom": 0.677, "dft_energy_ev_per_atom": -2.477, "de_polymorph_kj_per_mol_atoms": 8.3, "cell": [[-0.220, -4.372, -3.397], [-1.067, -3.303, 4.320], [-5.433, 0.826, -0.711]], "species": ["Bi", "Bi", "Bi", "Zn", "Ag"], "frac_coords": [[0.500, 0.000, 0.000], [0.000, 0.500, 0.000], [0.000, 0.000, 0.500], [0.500, 0.500, 0.500], [0.000, 0.000, 0.000]]}

---

{"formula": "Zn2AgBi2", "functional": "PBE", "state": "relaxed", "dos_ef_per_ev_atom": 0.43, "formation_enthalpy_0k_ev_per_atom": 0.164, "dft_energy_ev_per_atom": -2.468, "de_polymorph_kj_per_mol_atoms": 1.0, "cell": [[-3.230, -1.834, -0.244], [1.771, -2.924, -1.472], [0.501, -5.595, 7.011]], "species": ["Zn", "Zn", "Ag", "Bi", "Bi"], "frac_coords": [[0.750, 0.250, 0.500], [0.250, 0.750, 0.500], [0.000, 0.000, 0.000], [0.609, 0.609, 0.781], [0.391, 0.391, 0.219]]}

---

{"formula": "ZnAg4Bi", "functional": "PBE", "state": "relaxed", "dos_ef_per_ev_atom": 0.58, "formation_enthalpy_0k_ev_per_atom": 0.150, "dft_energy_ev_per_atom": -2.610, "cell": [[-4.597, -3.147, -0.426], [0.430, -5.569, -0.143], [-1.714, -3.047, 4.359]], "species": ["Ag", "Ag", "Ag", "Ag", "Zn", "Bi"], "frac_coords": [[0.123, 0.626, 0.626], [0.626, 0.626, 0.123], [0.626, 0.123, 0.626], [0.626, 0.626, 0.626], [0.000, 0.000, 0.000], [0.250, 0.250, 0.250]]}

---

{"formula": "ZnAg2Bi", "functional": "PBE", "state": "relaxed", "dos_ef_per_ev_atom": 0.25, "formation_enthalpy_0k_ev_per_atom": 0.114, "dft_energy_ev_per_atom": -2.600, "de_polymorph_kj_per_mol_atoms": 5.3, "cell": [[-1.519, -3.815, 1.641], [2.600, 0.443, 3.436], [-3.128, 2.146, 2.091]], "species": ["Bi", "Ag", "Ag", "Zn"], "frac_coords": [[0.500, 0.500, 0.500], [0.000, 0.500, 0.000], [0.000, 0.000, 0.500], [0.500, 0.000, 0.000]]}

---

{"formula": "ZnAgBi", "functional": "PBE", "state": "relaxed", "dos_ef_per_ev_atom": 0.30, "formation_enthalpy_0k_ev_per_atom": 0.137, "dft_energy_ev_per_atom": -2.531, "cell": [[-0.763, 1.590, 2.813], [0.357, -2.831, 1.697], [6.013, 1.874, -1.387]], "species": ["Bi", "Ag", "Zn"], "frac_coords": [[0.999, 0.999, 0.998], [0.691, 0.691, 0.383], [0.310, 0.310, 0.619]]}